(1)
# PBE-GGA BaZnCu4O8, relaxed
# space-group type: P-31m
# raw formation energy: -1035 kJ/mol of formula units
# total energy: -5.00 eV per atom
# M_tot: 0.000 μB/atom
data_BaZnCu4O8
_symmetry_space_group_name_H-M 'P 1'
_symmetry_Int_Tables_number 1
_cell_length_a 5.315
_cell_length_b 5.315
_cell_length_c 7.146
_cell_angle_alpha 90.00
_cell_angle_beta 90.00
_cell_angle_gamma 120.00
loop_
_symmetry_equiv_pos_as_xyz
'x,y,z'
loop_
_atom_site_label
_atom_site_fract_x
_atom_site_fract_y
_atom_site_fract_z
Ba1 0.000 0.000 0.000
Zn1 0.000 0.000 0.500
Cu1 0.333 0.667 0.263
Cu2 0.333 0.667 0.737
Cu3 0.667 0.333 0.263
Cu4 0.667 0.333 0.737
O1 0.000 0.313 0.320
O2 0.000 0.687 0.680
O3 0.313 0.000 0.320
O4 0.313 0.313 0.680
O5 0.333 0.667 0.000
O6 0.667 0.333 0.000
O7 0.687 0.000 0.680
O8 0.687 0.687 0.320

---

(2)
# PBE-GGA Cs4KF5, relaxed
# space-group type: I4
# raw formation energy: -2559 kJ/mol of formula units
# total energy: -4.04 eV per atom
# M_tot: 0.004 μB/atom
data_Cs4KF5
_symmetry_space_group_name_H-M 'P 1'
_symmetry_Int_Tables_number 1
_cell_length_a 7.320
_cell_length_b 7.320
_cell_length_c 7.320
_cell_angle_alpha 99.59
_cell_angle_beta 99.59
_cell_angle_gamma 131.81
loop_
_symmetry_equiv_pos_as_xyz
'x,y,z'
loop_
_atom_site_label
_atom_site_fract_x
_atom_site_fract_y
_atom_site_fract_z
Cs1 0.099 0.703 0.802
Cs2 0.297 0.099 0.397
Cs3 0.703 0.901 0.603
Cs4 0.901 0.297 0.198
K1 0.499 0.499 0.000
F1 0.003 0.003 0.000
F2 0.221 0.408 0.629
F3 0.408 0.779 0.187
F4 0.592 0.221 0.813
F5 0.779 0.592 0.371

---

- Look up the raw formation energy of the second one.
  -2559 kJ/mol of formula units